Record 1
# Cs3SmBr6 | OQMD via LeMat-Bulk | PBE | optimized geometry
# - Mass density: 3.59 g cm⁻³
# - SG: Fm-3m
# - Energy relative to the lowest polymorph listed for this composition: 0.515 eV/f.u.
# - Raw total energy: -3.5538 eV/atom
data_Cs3SmBr6
_chemical_formula_sum 'Cs3 Sm1 Br6'
_cell_length_a 8.7639
_cell_length_b 8.7639
_cell_length_c 8.7639
_cell_angle_alpha 60.00
_cell_angle_beta 60.00
_cell_angle_gamma 60.00
_symmetry_space_group_name_H-M 'P 1'
_symmetry_Int_Tables_number 1
loop_
_symmetry_equiv_pos_as_xyz
'x,y,z'
loop_
_atom_site_label
_atom_site_type_symbol
_atom_site_fract_x
_atom_site_fract_y
_atom_site_fract_z
_atom_site_occupancy
Br1 Br 0.7290 0.2710 0.2710 1
Br2 Br 0.2710 0.7290 0.2710 1
Br3 Br 0.7290 0.7290 0.2710 1
Br4 Br 0.2710 0.2710 0.7290 1
Br5 Br 0.7290 0.2710 0.7290 1
Br6 Br 0.2710 0.7290 0.7290 1
Cs1 Cs 0.0000 0.0000 0.0000 1
Cs2 Cs 0.2500 0.2500 0.2500 1
Cs3 Cs 0.7500 0.7500 0.7500 1
Sm1 Sm 0.5000 0.5000 0.5000 1

Record 2
# CsSmBr3 | OQMD via LeMat-Bulk | PBE | optimized geometry
# - Mass density: 4.54 g cm⁻³
# - SG: Pm-3m
# - Raw total energy: -3.7561 eV/atom
data_CsSmBr3
_chemical_formula_sum 'Cs2 Sm2 Br6'
_cell_length_a 8.1507
_cell_length_b 8.1507
_cell_length_c 8.1507
_cell_angle_alpha 120.05
_cell_angle_beta 120.05
_cell_angle_gamma 89.92
_symmetry_space_group_name_H-M 'P 1'
_symmetry_Int_Tables_number 1
loop_
_symmetry_equiv_pos_as_xyz
'x,y,z'
loop_
_atom_site_label
_atom_site_type_symbol
_atom_site_fract_x
_atom_site_fract_y
_atom_site_fract_z
_atom_site_occupancy
Br1 Br 0.2499 0.2499 0.0000 1
Br2 Br 0.7498 0.2502 0.0000 1
Br3 Br 0.2502 0.7498 0.0000 1
Br4 Br 0.7501 0.7501 0.0000 1
Br5 Br 0.7498 0.7498 0.4997 1
Br6 Br 0.2502 0.2502 0.5003 1
Cs1 Cs 0.7500 0.2500 0.5000 1
Cs2 Cs 0.2500 0.7500 0.5000 1
Sm1 Sm 0.0000 0.0000 0.0000 1
Sm2 Sm 0.5000 0.5000 0.0000 1

Record 3
# Cs3TbBr6 | OQMD via LeMat-Bulk | PBE | optimized geometry
# - Mass density: 3.68 g cm⁻³
# - SG: Fm-3m
# - Energy relative to the lowest polymorph listed for this composition: 0.458 eV/f.u.
# - Raw total energy: -3.5528 eV/atom
data_Cs3TbBr6
_chemical_formula_sum 'Cs3 Tb1 Br6'
_cell_length_a 8.7116
_cell_length_b 8.7116
_cell_length_c 8.7116
_cell_angle_alpha 60.00
_cell_angle_beta 60.00
_cell_angle_gamma 60.00
_symmetry_space_group_name_H-M 'P 1'
_symmetry_Int_Tables_number 1
loop_
_symmetry_equiv_pos_as_xyz
'x,y,z'
loop_
_atom_site_label
_atom_site_type_symbol
_atom_site_fract_x
_atom_site_fract_y
_atom_site_fract_z
_atom_site_occupancy
Br1 Br 0.7729 0.2271 0.2271 1
Br2 Br 0.2271 0.7729 0.2271 1
Br3 Br 0.7729 0.7729 0.2271 1
Br4 Br 0.2271 0.2271 0.7729 1
Br5 Br 0.7729 0.2271 0.7729 1
Br6 Br 0.2271 0.7729 0.7729 1
Cs1 Cs 0.2500 0.2500 0.2500 1
Cs2 Cs 0.5000 0.5000 0.5000 1
Cs3 Cs 0.7500 0.7500 0.7500 1
Tb1 Tb 0.0000 0.0000 0.0000 1

Record 4
# Cs3TbBr6 | OQMD via LeMat-Bulk | PBE | optimized geometry
# - Mass density: 3.85 g cm⁻³
# - SG: P2_1/c
# - Energy relative to the lowest polymorph listed for this composition: 0.000 eV/f.u.
# - Raw total energy: -3.5986 eV/atom
data_Cs3TbBr6
_chemical_formula_sum 'Cs6 Tb2 Br12'
_cell_length_a 8.3979
_cell_length_b 8.8939
_cell_length_c 14.5159
_cell_angle_alpha 90.00
_cell_angle_beta 124.42
_cell_angle_gamma 90.00
_symmetry_space_group_name_H-M 'P 1'
_symmetry_Int_Tables_number 1
loop_
_symmetry_equiv_pos_as_xyz
'x,y,z'
loop_
_atom_site_label
_atom_site_type_symbol
_atom_site_fract_x
_atom_site_fract_y
_atom_site_fract_z
_atom_site_occupancy
Br1 Br 0.3198 0.1739 0.0485 1
Br2 Br 0.2308 0.7368 0.0678 1
Br3 Br 0.1055 0.0462 0.2197 1
Br4 Br 0.8945 0.5462 0.2803 1
Br5 Br 0.7692 0.2368 0.4322 1
Br6 Br 0.6802 0.6739 0.4515 1
Br7 Br 0.3198 0.3261 0.5485 1
Br8 Br 0.2308 0.7632 0.5678 1
Br9 Br 0.1055 0.4538 0.7197 1
Br10 Br 0.8945 0.9538 0.7803 1
Br11 Br 0.7692 0.2632 0.9322 1
Br12 Br 0.6802 0.8261 0.9515 1
Cs1 Cs 0.5000 0.5000 0.0000 1
Cs2 Cs 0.7193 0.9310 0.2451 1
Cs3 Cs 0.2807 0.4310 0.2549 1
Cs4 Cs 0.5000 0.0000 0.5000 1
Cs5 Cs 0.7193 0.5690 0.7451 1
Cs6 Cs 0.2807 0.0690 0.7549 1
Tb1 Tb 0.0000 0.0000 0.0000 1
Tb2 Tb 0.0000 0.5000 0.5000 1

V: 476.0; 191.3; 467.5; 447.2 (Å³/f.u.)